No. 1
GGA-PBEsol K2MgCd, optimized geometry; space-group type = P4mm (99); ΔE to the lowest computed polymorph = 0.0 meV per atom; ΔE_f = 0.06 eV per atom
1.0
-2.848 -2.508 1.102
1.497 -2.757 -2.402
5.938 -3.402 7.605
K Mg Cd
2 1 1
Direct
0.000 0.000 0.926
0.500 0.500 0.315
0.000 0.000 0.579
0.500 0.500 0.681



No. 2
GGA-PBEsol K2MgCd, optimized geometry; space-group type = Amm2 (38); ΔE to the lowest computed polymorph = 47.4 meV per atom; ΔE_f = 0.10 eV per atom
1.0
-0.268 1.551 -4.374
2.787 -4.083 -1.618
-5.595 -4.326 1.279
Cd K Mg
1 2 1
Direct
0.698 0.500 0.396
0.092 0.000 0.184
0.404 0.500 0.808
0.796 0.000 0.592



No. 3
GGA-PBEsol KMnCd3, optimized geometry; space-group type = Pm-3m (221); ΔE to the lowest computed polymorph = 962.4 meV per atom; ΔE_f = 1.34 eV per atom
1.0
-3.635 -3.156 -3.329
3.648 -4.564 0.343
-2.781 -1.862 4.802
K Mn Cd
1 1 3
Direct
0.000 0.000 0.000
0.500 0.500 0.500
0.000 0.500 0.000
0.000 0.000 0.500
0.500 0.000 0.000



No. 4
GGA-PBEsol KMn3Cd, optimized geometry; space-group type = Pm-3m (221); ΔE_f = 2.21 eV per atom
1.0
4.711 0.000 0.000
0.000 4.711 0.000
0.000 0.000 4.711
K Mn Cd
1 3 1
Direct
0.000 0.000 0.000
0.000 0.500 0.000
0.000 0.000 0.500
0.500 0.000 0.000
0.500 0.500 0.500



Q: Which formula does entry 4 have?
A: KMn3Cd



Repeat the fourth record exactly.
GGA-PBEsol KMn3Cd, optimized geometry; space-group type = Pm-3m (221); ΔE_f = 2.21 eV per atom
1.0
4.711 0.000 0.000
0.000 4.711 0.000
0.000 0.000 4.711
K Mn Cd
1 3 1
Direct
0.000 0.000 0.000
0.000 0.500 0.000
0.000 0.000 0.500
0.500 0.000 0.000
0.500 0.500 0.500



Q: ΔE_f of number 2 (K2MgCd)?
A: 0.10 eV per atom